The following is a DFT calculation (PBE-GGA) of BaFe3Ni after structural relaxation.

Structure (POSCAR):
```
BaFe3Ni
1.0
-2.578 2.397 3.025
2.409 -1.843 3.513
3.015 3.521 -0.221
Ni Ba Fe
1 1 3
Cartesian
0.000 0.000 0.000
1.424 2.038 3.159
1.508 1.761 -0.110
1.205 -0.921 1.756
-1.289 1.198 1.513
```

Output
formation energy: 0.7540 eV/atom
VASP energy: -29.3 eV per cell
symmetry: Pm-3m, No. 221

The following is a DFT calculation (PBE-GGA) of AcPuTlO6 after structural relaxation.

Structure (POSCAR):
```
AcPuTlO6
1.0
-3.856 -1.775 3.850
5.484 0.655 1.529
-1.976 10.199 2.721
O Pu Tl Ac
12 2 2 2
Cartesian
0.655 6.712 2.427
-0.977 8.413 4.222
-0.276 3.239 2.932
-3.086 2.526 3.565
0.629 0.666 3.879
2.737 6.553 4.535
-1.540 0.785 1.858
1.796 9.152 3.467
-1.003 2.367 5.674
1.192 8.294 6.243
-0.073 5.840 5.168
-2.145 -0.073 4.633
-1.237 1.585 3.757
0.889 7.494 4.344
-2.225 6.684 5.117
1.877 2.395 2.983
-0.988 5.099 1.360
0.000 0.000 0.000
```

Output
ΔE_f (raw): -2.239 eV per atom
VASP energy: -141.4 eV per cell
symmetry: P-31c, No. 163

The following is a DFT calculation (PBE-GGA) of YAsCl after structural relaxation.

Structure (POSCAR):
```
YAsCl
1.0
-4.013 -2.206 -0.949
-0.790 -1.671 -4.296
-0.010 -4.616 -0.749
Y Cl As
1 1 1
Cartesian
0.000 0.000 0.000
-3.610 -6.370 -4.496
-2.407 -4.247 -2.997
```

Output
ΔE_f (raw): -0.627 eV per atom
VASP energy: -14.8 eV per cell
symmetry: F-43m, No. 216

The following is a DFT calculation (PBE-GGA) of Na2Pt3Pb2 after structural relaxation.

Structure (POSCAR):
```
Na2Pt3Pb2
1.0
-3.332 -2.466 0.517
4.257 -2.995 -3.722
1.206 -0.141 7.099
Na Pt Pb
2 3 2
Cartesian
1.561 -1.140 4.624
0.570 -4.462 -0.730
-0.742 -1.965 2.721
2.873 -3.636 1.173
-1.666 -1.233 0.259
1.186 -1.457 0.698
0.944 -4.145 3.195
```

Output
formation energy: -0.2457 eV/atom
VASP energy: -29.9 eV per cell
symmetry: C2/m, No. 12

The following is a DFT calculation (PBE-GGA) of ReRh after structural relaxation.

Structure (POSCAR):
```
ReRh
1.0
-2.181 0.127 -1.581
0.085 -2.675 -0.332
-2.334 -0.469 3.183
Re Rh
1 1
Cartesian
-2.215 -1.509 0.635
0.000 0.000 0.000
```

Output
formation energy: -0.0579 eV/atom
VASP energy: -19.9 eV per cell
symmetry: P4/mmm, No. 123

The following is a DFT calculation (PBE-GGA) of MnBe2Br after structural relaxation.

Structure (POSCAR):
```
MnBe2Br
1.0
3.949 -0.502 -0.792
2.340 3.220 -0.792
-0.994 -0.429 5.589
Mn Be Br
1 2 1
Cartesian
1.324 0.572 1.001
5.454 2.357 -0.361
3.484 1.506 0.780
3.972 1.717 3.004
```

Output
ΔE_f (raw): 0.364 eV per atom
VASP energy: -16.8 eV per cell
symmetry: C2/m, No. 12

The following is a DFT calculation (PBE-GGA) of Nd4BiPb2 after structural relaxation.

Structure (POSCAR):
```
Nd4BiPb2
1.0
7.920 0.000 -2.818
-3.953 6.872 -2.794
-0.014 0.000 8.406
Nd Pb Bi
8 4 2
Cartesian
1.963 5.150 0.478
5.058 1.722 4.485
1.098 1.714 5.894
-0.547 2.693 1.712
-2.528 6.129 0.322
5.385 4.179 1.707
1.970 5.158 -3.725
3.413 0.743 0.304
2.475 2.587 2.789
6.434 0.849 1.380
-0.505 6.023 2.811
-0.498 4.285 -1.392
3.960 3.436 -1.409
0.000 0.000 0.000
```

Output
formation energy: -0.6688 eV/atom
VASP energy: -70.1 eV per cell
symmetry: I-42d, No. 122

The following is a DFT calculation (PBE-GGA) of GdMgSbPd after structural relaxation.

Structure (POSCAR):
```
GdMgSbPd
1.0
-1.717 -4.538 -1.309
1.637 -4.097 2.407
-3.082 -2.505 3.080
Pd Sb Mg Gd
1 1 1 1
Cartesian
0.000 0.000 0.000
-1.581 -5.570 2.089
-0.791 -2.785 1.044
-2.372 -8.354 3.133
```

Output
ΔE_f (raw): -0.644 eV per atom
VASP energy: -27.6 eV per cell
symmetry: F-43m, No. 216